# 1
# PrGa4PdPt2 GGA-PBE optimized geometry
data_PrGa4PdPt2
_chemical_formula_sum 'Pr3 Ga12 Pd3 Pt6'
_space_group_name_H-M_alt 'R -3 m'
_space_group_IT_number 166
_space_group_name_Hall '-R 3 2"'
_cell_length_a 4.3239
_cell_length_b 4.3239
_cell_length_c 26.7453
_cell_angle_alpha 90.00
_cell_angle_beta 90.00
_cell_angle_gamma 120.00
loop_
_atom_site_label
_atom_site_type_symbol
_atom_site_fract_x
_atom_site_fract_y
_atom_site_fract_z
Pr1 Pr 0.0000 0.0000 0.0000
Ga1 Ga 0.0000 0.0000 0.1318
Ga2 Ga 0.0000 0.0000 0.4001
Pd1 Pd 0.0000 0.0000 0.5000
Pt1 Pt 0.0000 0.0000 0.2377
# - Calculated formation energy: -0.7143 eV/atom
# - Density: 10.54 Mg/m³
# - Total DFT energy (no corrections): -39.88 eV/f.u.
# - DOS at the Fermi energy: 0.4186 states/eV per atom


# 2
# PrGa2Pd5Pt GGA-PBE optimized geometry
data_PrGa2Pd5Pt
_chemical_formula_sum 'Pr1 Ga2 Pd5 Pt1'
_space_group_name_H-M_alt 'P 4/m m m'
_space_group_IT_number 123
_space_group_name_Hall '-P 4 2'
_cell_length_a 4.775
_cell_length_b 4.775
_cell_length_c 7.216
_cell_angle_alpha 90.00
_cell_angle_beta 90.00
_cell_angle_gamma 90.00
loop_
_atom_site_label
_atom_site_type_symbol
_atom_site_fract_x
_atom_site_fract_y
_atom_site_fract_z
Pr1 Pr 0.000 0.000 0.000
Ga1 Ga 0.500 0.500 0.336
Pd1 Pd 0.000 0.500 0.279
Pd2 Pd 0.500 0.500 0.000
Pt1 Pt 0.000 0.000 0.500
# - Calculated formation energy: -0.3573 eV/atom
# - Density: 10.17 Mg/m³
# - Total DFT energy (no corrections): -46.05 eV/f.u.
# - DOS at the Fermi energy: 0.5217 states/eV per atom


# 3
# Pr2PuGa4Pd3 GGA-PBE optimized geometry
data_Pr2PuGa4Pd3
_chemical_formula_sum 'Pr2 Pu1 Ga4 Pd3'
_space_group_name_H-M_alt 'P -4 m 2'
_space_group_IT_number 115
_space_group_name_Hall 'P -4 -2'
_cell_length_a 4.350
_cell_length_b 4.350
_cell_length_c 11.357
_cell_angle_alpha 90.00
_cell_angle_beta 90.00
_cell_angle_gamma 90.00
loop_
_atom_site_label
_atom_site_type_symbol
_atom_site_fract_x
_atom_site_fract_y
_atom_site_fract_z
Pr1 Pr 0.000 0.500 0.230
Pu1 Pu 0.000 0.000 0.500
Ga1 Ga 0.000 0.000 0.000
Ga2 Ga 0.000 0.500 0.670
Ga3 Ga 0.500 0.500 0.000
Pd1 Pd 0.000 0.500 0.885
Pd2 Pd 0.500 0.500 0.500
# - Calculated formation energy: -0.6041 eV/atom
# - Density: 8.69 Mg/m³
# - Total DFT energy (no corrections): -57.62 eV/f.u.
# - DOS at the Fermi energy: 1.5820 states/eV per atom


# 4
# Pr2Ga4Pd3Rh GGA-PBE optimized geometry
data_Pr2Ga4Pd3Rh
_chemical_formula_sum 'Pr2 Ga4 Pd3 Rh1'
_space_group_name_H-M_alt 'P -4 m 2'
_space_group_IT_number 115
_space_group_name_Hall 'P -4 -2'
_cell_length_a 4.343
_cell_length_b 4.343
_cell_length_c 10.261
_cell_angle_alpha 90.00
_cell_angle_beta 90.00
_cell_angle_gamma 90.00
loop_
_atom_site_label
_atom_site_type_symbol
_atom_site_fract_x
_atom_site_fract_y
_atom_site_fract_z
Pr1 Pr 0.000 0.500 0.249
Ga1 Ga 0.000 0.000 0.500
Ga2 Ga 0.000 0.500 0.874
Ga3 Ga 0.500 0.500 0.500
Pd1 Pd 0.000 0.000 0.000
Pd2 Pd 0.000 0.500 0.630
Rh1 Rh 0.500 0.500 0.000
# - Calculated formation energy: -0.8045 eV/atom
# - Density: 8.43 Mg/m³
# - Total DFT energy (no corrections): -52.64 eV/f.u.
# - DOS at the Fermi energy: 0.7458 states/eV per atom


# 5
# PrGa2Pd2Rh GGA-PBE optimized geometry
data_PrGa2Pd2Rh
_chemical_formula_sum 'Pr1 Ga2 Pd2 Rh1'
_space_group_name_H-M_alt 'P 4/m m m'
_space_group_IT_number 123
_space_group_name_Hall '-P 4 2'
_cell_length_a 4.700
_cell_length_b 4.700
_cell_length_c 5.539
_cell_angle_alpha 90.00
_cell_angle_beta 90.00
_cell_angle_gamma 90.00
loop_
_atom_site_label
_atom_site_type_symbol
_atom_site_fract_x
_atom_site_fract_y
_atom_site_fract_z
Pr1 Pr 0.000 0.000 0.000
Ga1 Ga 0.000 0.500 0.500
Pd1 Pd 0.500 0.500 0.247
Rh1 Rh 0.000 0.000 0.500
# - Calculated formation energy: -0.5261 eV/atom
# - Density: 8.09 Mg/m³
# - Total DFT energy (no corrections): -31.73 eV/f.u.
# - DOS at the Fermi energy: 0.4082 states/eV per atom


# 6
# PrGa4Pd2Rh GGA-PBE optimized geometry
data_PrGa4Pd2Rh
_chemical_formula_sum 'Pr3 Ga12 Pd6 Rh3'
_space_group_name_H-M_alt 'R -3 m'
_space_group_IT_number 166
_space_group_name_Hall '-R 3 2"'
_cell_length_a 4.2959
_cell_length_b 4.2959
_cell_length_c 26.8197
_cell_angle_alpha 90.00
_cell_angle_beta 90.00
_cell_angle_gamma 120.00
loop_
_atom_site_label
_atom_site_type_symbol
_atom_site_fract_x
_atom_site_fract_y
_atom_site_fract_z
Pr1 Pr 0.0000 0.0000 0.0000
Ga1 Ga 0.0000 0.0000 0.1330
Ga2 Ga 0.0000 0.0000 0.4016
Pd1 Pd 0.0000 0.0000 0.2341
Rh1 Rh 0.0000 0.0000 0.5000
# - Calculated formation energy: -0.6757 eV/atom
# - Density: 8.55 Mg/m³
# - Total DFT energy (no corrections): -40.03 eV/f.u.
# - DOS at the Fermi energy: 0.5931 states/eV per atom


# 7
# Pr2Ga5PdRu2 GGA-PBE optimized geometry
data_Pr2Ga5PdRu2
_chemical_formula_sum 'Pr4 Ga10 Pd2 Ru4'
_space_group_name_H-M_alt 'P 4/m b m'
_space_group_IT_number 127
_space_group_name_Hall '-P 4 2ab'
_cell_length_a 10.719
_cell_length_b 10.719
_cell_length_c 3.243
_cell_angle_alpha 90.00
_cell_angle_beta 90.00
_cell_angle_gamma 90.00
loop_
_atom_site_label
_atom_site_type_symbol
_atom_site_fract_x
_atom_site_fract_y
_atom_site_fract_z
Pr1 Pr 0.182 0.318 0.000
Ga1 Ga 0.000 0.500 0.500
Ga2 Ga 0.054 0.806 0.500
Pd1 Pd 0.000 0.000 0.000
Ru1 Ru 0.126 0.626 0.000
# - Calculated formation energy: -0.4075 eV/atom
# - Density: 8.37 Mg/m³
# - Total DFT energy (no corrections): -52.51 eV/f.u.
# - DOS at the Fermi energy: 0.6400 states/eV per atom


# 8
# PrGa4Pd2Ru GGA-PBE optimized geometry
data_PrGa4Pd2Ru
_chemical_formula_sum 'Pr3 Ga12 Pd6 Ru3'
_space_group_name_H-M_alt 'R -3 m'
_space_group_IT_number 166
_space_group_name_Hall '-R 3 2"'
_cell_length_a 4.2803
_cell_length_b 4.2803
_cell_length_c 26.9198
_cell_angle_alpha 90.00
_cell_angle_beta 90.00
_cell_angle_gamma 120.00
loop_
_atom_site_label
_atom_site_type_symbol
_atom_site_fract_x
_atom_site_fract_y
_atom_site_fract_z
Pr1 Pr 0.0000 0.0000 0.0000
Ga1 Ga 0.0000 0.0000 0.1341
Ga2 Ga 0.0000 0.0000 0.4023
Pd1 Pd 0.0000 0.0000 0.2348
Ru1 Ru 0.0000 0.0000 0.5000
# - Calculated formation energy: -0.5951 eV/atom
# - Density: 8.56 Mg/m³
# - Total DFT energy (no corrections): -41.31 eV/f.u.
# - DOS at the Fermi energy: 0.5920 states/eV per atom